Entry 1:
Below is an optimized crystal structure of Tb2PtBr, with properties calculated at the PBE-GGA level.

Energy: -5.5118 eV per atom
ΔE to the lowest computed polymorph: 0.000 eV/atom
E_form (uncorrected): -1268 meV/atom
SG: No. 166
Calculated density: 8.88 g/cm³
Size of the total moment: 0.00 μB/atom

a = 4.1074 Å, b = 4.1074 Å, c = 7.9457 Å
α = 75.02°, β = 75.02°, γ = 60.00°
Fractional coordinates of all 4 atoms:
Tb 0.7321 0.7321 0.8036
Tb 0.2679 0.2679 0.1964
Br 0.5000 0.5000 0.5000
Pt 0.0000 0.0000 0.0000

***

Entry 2:
Below is an optimized crystal structure of Tb2PtBr, with properties calculated at the PBE-GGA level.

Energy: -5.4843 eV per atom
ΔE to the lowest computed polymorph: 0.028 eV/atom
E_form (uncorrected): -1241 meV/atom
SG: No. 160
Calculated density: 8.71 g/cm³
Size of the total moment: 0.00 μB/atom

a = 4.1086 Å, b = 4.1086 Å, c = 8.0873 Å
α = 75.28°, β = 75.28°, γ = 60.00°
Fractional coordinates of all 4 atoms:
Br 0.4967 0.4967 0.5100
Tb 0.2709 0.2709 0.1874
Tb 0.0649 0.0649 0.8052
Pt 0.6675 0.6675 0.9974

***

Entry 3:
Below is an optimized crystal structure of Tb2PtBr2, with properties calculated at the PBE-GGA level.

Energy: -5.2422 eV per atom
E_form (uncorrected): -1513 meV/atom
SG: No. 166
Calculated density: 7.27 g/cm³
Size of the total moment: 0.00 μB/atom

a = 4.0147 Å, b = 4.0147 Å, c = 11.2538 Å
α = 79.73°, β = 79.73°, γ = 60.00°
Fractional coordinates of all 5 atoms:
Tb 0.3832 0.3832 0.8504
Tb 0.6168 0.6168 0.1496
Br 0.7746 0.7746 0.6761
Br 0.2254 0.2254 0.3239
Pt 0.0000 0.0000 0.0000

***

Entry 4:
Below is an optimized crystal structure of Tb2PtBr, with properties calculated at the PBE-GGA level.

Energy: -5.4375 eV per atom
ΔE to the lowest computed polymorph: 0.074 eV/atom
E_form (uncorrected): -1194 meV/atom
SG: No. 59
Calculated density: 8.78 g/cm³
Size of the total moment: 0.00 μB/atom

a = 3.8529 Å, b = 7.3159 Å, c = 7.9520 Å
α = 90.00°, β = 90.00°, γ = 90.00°
Fractional coordinates of all 8 atoms:
Br 0.2500 0.2500 0.5693
Br 0.7500 0.7500 0.4307
Pt 0.2500 0.7500 0.9269
Pt 0.7500 0.2500 0.0731
Tb 0.7500 0.5050 0.8017
Tb 0.2500 0.4950 0.1983
Tb 0.7500 0.9950 0.8017
Tb 0.2500 0.0050 0.1983